[1]
The following is a DFT calculation (PBE-GGA) of a relaxed structure of TaNi2Ru.

Computed properties:
Total DFT energy (no corrections) in eV/atom: -8.293
Crystal system: orthorhombic
Symmetry: No. 65
Calculated volume in Å³/f.u.: 54
Formation energy in eV/atom: -0.12
Energy above the lowest structure with this stoichiometry in kJ/mol of formula units: 78.8

Lattice parameters (Å, degrees): 5.9437 4.4825 2.8110 90.04 61.71 120.96
Last column: nearest neighbours and their distance in Å.
Fractional coordinates of all 4 atoms:
1 Ni 0.0000 0.0000 0.0000  4 Ni 2.62-2.81, 4 Ta 2.64-2.65, 4 Ru 2.64-2.65
2 Ni 0.5000 0.0000 0.5000  4 Ni 2.62-2.81, 4 Ru 2.64-2.65, 4 Ta 2.64-2.65
3 Ru 0.0000 0.5000 0.5000  2 Ta 2.62, 8 Ni 2.64-2.65, 2 Ru 2.81
4 Ta 0.5000 0.5000 0.0000  2 Ru 2.62, 8 Ni 2.64-2.65, 2 Ta 2.81

***

[2]
The following is a DFT calculation (PBE-GGA) of a relaxed structure of Zr2IrRh.

Computed properties:
Total DFT energy (no corrections) in eV/atom: -8.758
Crystal system: cubic
Symmetry: No. 216
Calculated volume in Å³/f.u.: 70
Formation energy in eV/atom: -0.43

Lattice parameters (Å, degrees): 4.6223 4.6223 4.6223 60.00 60.00 60.00
Last column: nearest neighbours and their distance in Å.
Fractional coordinates of all 4 atoms:
1 Ir 0.5000 0.5000 0.5000  4 Zr 2.83, 4 Rh 2.83
2 Rh 0.7500 0.7500 0.7500  4 Ir 2.83, 4 Zr 2.83
3 Zr 0.0000 0.0000 0.0000  4 Rh 2.83, 4 Zr 2.83
4 Zr 0.2500 0.2500 0.2500  4 Zr 2.83, 4 Ir 2.83

***

[3]
The following is a DFT calculation (PBE-GGA) of a relaxed structure of SrCd2Os.

Computed properties:
Total DFT energy (no corrections) in eV/atom: -2.969
Crystal system: trigonal
Symmetry: No. 166
Calculated volume in Å³/f.u.: 87
Formation energy in eV/atom: 0.72

Lattice parameters (Å, degrees): 10.6523 10.6523 10.6523 16.68 16.68 16.68
Last column: nearest neighbours and their distance in Å.
Fractional coordinates of all 4 atoms:
1 Cd 0.9890 0.9890 0.9890  3 Os 2.89, 6 Cd 3.09
2 Cd 0.5110 0.5110 0.5110  3 Os 2.89, 6 Cd 3.09
3 Os 0.2500 0.2500 0.2500  6 Cd 2.89, 6 Os 3.09
4 Sr 0.7500 0.7500 0.7500  6 Sr 3.09

***

Copy entry 3 word for word.
The following is a DFT calculation (PBE-GGA) of a relaxed structure of SrCd2Os.

Computed properties:
Total DFT energy (no corrections) in eV/atom: -2.969
Crystal system: trigonal
Symmetry: No. 166
Calculated volume in Å³/f.u.: 87
Formation energy in eV/atom: 0.72

Lattice parameters (Å, degrees): 10.6523 10.6523 10.6523 16.68 16.68 16.68
Last column: nearest neighbours and their distance in Å.
Fractional coordinates of all 4 atoms:
1 Cd 0.9890 0.9890 0.9890  3 Os 2.89, 6 Cd 3.09
2 Cd 0.5110 0.5110 0.5110  3 Os 2.89, 6 Cd 3.09
3 Os 0.2500 0.2500 0.2500  6 Cd 2.89, 6 Os 3.09
4 Sr 0.7500 0.7500 0.7500  6 Sr 3.09

***

> Which formula does entry 3 have?

SrCd2Os

***

> formation energy of number 1 (TaNi2Ru)?

-0.12 eV/atom

***

> The highest formation energy belongs to which entry?

SrCd2Os